First-principles (SCAN) data for a PBEsol-optimized structure of InCoSn2W, as listed in Alexandria.

Calculated values
Total magnetic moment = 5.8 Bohr magnetons per cell
SG = P4/mmm
Density of states at the Fermi level = 0.809 states/eV/atom
Calculated formation energy = 2.162 eV/atom

Unit cell a=5.137 b=5.320 c=5.320 alpha=90.00 beta=90.00 gamma=90.00
Fractional coordinates of all 5 atoms:
Sn 0.000 0.500 0.000
Sn 0.000 0.000 0.500
W 0.500 0.000 0.000
In 0.000 0.000 0.000
Co 0.500 0.500 0.500

=====

First-principles (SCAN) data for a PBEsol-optimized structure of SrIn2Co, as listed in Alexandria.

Calculated values
Total magnetic moment = 1.8 Bohr magnetons per cell
SG = Fm-3m
Density of states at the Fermi level = 0.630 states/eV/atom
Calculated formation energy = 0.132 eV/atom

Unit cell a=4.948 b=4.948 c=4.948 alpha=60.00 beta=60.00 gamma=60.00
Fractional coordinates of all 4 atoms:
In 0.750 0.750 0.750
In 0.250 0.250 0.250
Sr 0.500 0.500 0.500
Co 0.000 0.000 0.000